[1]
Density functional theory data (PBE) for an optimized crystal structure of ZnRePt2.

Results
spin magnetization	0.00	μB/f.u.
space-group type	P4mm (99)
calculated formation energy	-0.118	eV per atom
density of states at the Fermi level	1.155	states/eV per cell

Unit cell a=2.7772 b=2.7772 c=7.7942 alpha=90.00 beta=90.00 gamma=90.00
Last column: nearest neighbours and their distance in Å.
Element x y z (fractional)
Pt  0.0000  0.0000  0.9890  4 Zn 2.70, 8 Pt 2.78-2.90
Pt  0.5000  0.5000  0.2622  4 Re 2.69, 8 Pt 2.78-2.90
Re  0.0000  0.0000  0.4981  4 Pt 2.69, 4 Re 2.78, 4 Zn 2.78
Zn  0.5000  0.5000  0.7507  4 Pt 2.70, 4 Zn 2.78, 4 Re 2.78

[2]
Density functional theory data (PBE) for an optimized crystal structure of SrLa2H2.

Results
energy above the lowest structure with this stoichiometry	0.000	eV/atom
spin magnetization	0.00	μB/f.u.
space-group type	I4/mmm (139)
density of states at the Fermi level	0.931	states/eV per cell

Unit cell a=3.8983 b=3.8983 c=9.8751 alpha=78.62 beta=78.62 gamma=90.00
Last column: nearest neighbours and their distance in Å.
Element x y z (fractional)
Sr  0.0000  0.0000  0.0000  4 Sr 3.90
H  0.7500  0.2500  0.5000  4 La 2.36
H  0.2500  0.7500  0.5000  4 La 2.36
La  0.3200  0.3200  0.3600  4 H 2.36
La  0.6800  0.6800  0.6400  4 H 2.36

[3]
Density functional theory data (PBE) for an optimized crystal structure of Ba2ZnH6O6.

Results
energy above the lowest structure with this stoichiometry	0.000	eV/atom
spin magnetization	0.00	μB/f.u.
space-group type	P2_1/c (14)
density of states at the Fermi level	0.000	states/eV per cell

Unit cell a=5.3115 b=7.2080 c=9.9314 alpha=80.68 beta=90.00 gamma=90.00
Last column: nearest neighbours and their distance in Å.
Element x y z (fractional)
Ba  0.5564  0.7844  0.2771  7 O 2.59-2.89, 1 H 2.78
Ba  0.9436  0.7844  0.7771  7 O 2.59-2.89, 1 H 2.78
Ba  0.4436  0.2156  0.7229  7 O 2.59-2.89, 1 H 2.78
Ba  0.0564  0.2156  0.2229  7 O 2.59-2.89, 1 H 2.78
Zn  0.5000  0.5000  0.0000  4 O 1.95-2.14
Zn  0.0000  0.5000  0.5000  4 O 1.95-2.14
H  0.8054  0.1350  0.5116  1 H 0.76
H  0.6946  0.1350  0.0116  1 H 0.76
H  0.1946  0.8650  0.4884  1 H 0.76
H  0.3054  0.8650  0.9884  1 H 0.76
H  0.2930  0.8580  0.5450  1 H 0.76
H  0.2070  0.8580  0.0450  1 H 0.76
H  0.7070  0.1420  0.4550  1 H 0.76
H  0.7930  0.1420  0.9550  1 H 0.76
H  0.3805  0.3715  0.3935  1 O 0.98
H  0.1195  0.3715  0.8935  1 O 0.98
H  0.6195  0.6285  0.6065  1 O 0.98
H  0.8805  0.6285  0.1065  1 O 0.98
O  0.4333  0.6419  0.7968  1 O 1.50
O  0.0667  0.6419  0.2968  1 O 1.50
O  0.5667  0.3581  0.2032  1 O 1.50
O  0.9333  0.3581  0.7032  1 O 1.50
O  0.9479  0.1480  0.7283  1 O 1.50
O  0.5521  0.1480  0.2283  1 O 1.50
O  0.0521  0.8520  0.2717  1 O 1.50
O  0.4479  0.8520  0.7717  1 O 1.50
O  0.2393  0.3226  0.9660  1 H 0.98
O  0.2607  0.3226  0.4660  1 H 0.98
O  0.7607  0.6774  0.0340  1 H 0.98
O  0.7393  0.6774  0.5340  1 H 0.98

[4]
Density functional theory data (PBE) for an optimized crystal structure of MgNbAu3.

Results
energy above the lowest structure with this stoichiometry	0.051	eV/atom
spin magnetization	2.59	μB/f.u.
space-group type	Pm-3m (221)
calculated formation energy	0.737	eV per atom
density of states at the Fermi level	4.930	states/eV per cell

Unit cell a=4.7764 b=4.7764 c=4.7764 alpha=90.00 beta=90.00 gamma=90.00
Last column: nearest neighbours and their distance in Å.
Element x y z (fractional)
Nb  0.5000  0.5000  0.5000  12 Au 3.38
Au  0.0000  0.5000  0.0000  2 Mg 2.39
Au  0.0000  0.0000  0.5000  2 Mg 2.39
Au  0.5000  0.0000  0.0000  2 Mg 2.39
Mg  0.0000  0.0000  0.0000  6 Au 2.39

[5]
Density functional theory data (PBE) for an optimized crystal structure of PuTh3Tl3Te8.

Results
spin magnetization	6.70	μB/f.u.
space-group type	R-3m (166)
formation energy (no corrections)	-900.5	meV/atom
density of states at the Fermi level	18.416	states/eV per cell

Unit cell a=8.9255 b=8.9256 c=9.8239 alpha=117.02 beta=90.00 gamma=120.00
Last column: nearest neighbours and their distance in Å.
Element x y z (fractional)
Pu  0.0000  0.0000  0.5000  6 Te 3.19
Th  0.5000  0.0000  0.5000  6 Te 3.15-3.19
Th  0.5000  0.5000  0.5000  6 Te 3.15-3.19
Th  0.0000  0.5000  0.5000  6 Te 3.15-3.19
Tl  0.0000  0.0000  0.0000  6 Te 3.46-3.50
Tl  0.0000  0.5000  0.0000  6 Te 3.46-3.50
Tl  0.5000  0.5000  0.0000  6 Te 3.46-3.50
Te  0.2586  0.5173  0.2759  3 Th 3.19, 3 Tl 3.46
Te  0.7414  0.4827  0.7241  3 Th 3.19, 3 Tl 3.46
Te  0.7578  0.5157  0.2804  2 Th 3.15, 1 Pu 3.19, 2 Tl 3.50
Te  0.2422  0.4843  0.7196  2 Th 3.15, 1 Pu 3.19, 2 Tl 3.50
Te  0.7579  0.0225  0.2804  2 Th 3.15, 1 Pu 3.19, 2 Tl 3.50
Te  0.2421  0.9775  0.7196  2 Th 3.15, 1 Pu 3.19, 2 Tl 3.50
Te  0.2646  0.0225  0.2804  2 Th 3.15, 1 Pu 3.19, 2 Tl 3.50
Te  0.7354  0.9775  0.7196  2 Th 3.15, 1 Pu 3.19, 2 Tl 3.50

[6]
Density functional theory data (PBE) for an optimized crystal structure of B.

Results
energy above the lowest structure with this stoichiometry	1.073	eV/atom
spin magnetization	0.00	μB/f.u.
space-group type	Pm-3m (221)
calculated formation energy	1.073	eV per atom
density of states at the Fermi level	0.698	states/eV per cell

Unit cell a=1.8849 b=1.8849 c=1.8849 alpha=90.00 beta=90.00 gamma=90.00
Last column: nearest neighbours and their distance in Å.
Element x y z (fractional)
B  0.0000  0.0000  0.0000  6 B 1.88

[7]
Density functional theory data (PBE) for an optimized crystal structure of GaAuF3.

Results
energy above the lowest structure with this stoichiometry	0.334	eV/atom
spin magnetization	0.00	μB/f.u.
space-group type	Pm-3m (221)
formation energy (no corrections)	-1046.3	meV/atom
density of states at the Fermi level	1.190	states/eV per cell

Unit cell a=4.4596 b=4.4596 c=4.4596 alpha=90.00 beta=90.00 gamma=90.00
Last column: nearest neighbours and their distance in Å.
Element x y z (fractional)
Au  0.0000  0.0000  0.0000  6 F 2.23
Ga  0.5000  0.5000  0.5000  12 F 3.15
F  0.0000  0.5000  0.0000  2 Au 2.23
F  0.0000  0.0000  0.5000  2 Au 2.23
F  0.5000  0.0000  0.0000  2 Au 2.23

[8]
Density functional theory data (PBE) for an optimized crystal structure of K2HO.

Results
energy above the lowest structure with this stoichiometry	0.018	eV/atom
spin magnetization	1.00	μB/f.u.
space-group type	Cmcm (63)
density of states at the Fermi level	3.860	states/eV per cell

Unit cell a=3.3612 b=6.6834 c=7.2071 alpha=90.00 beta=103.48 gamma=90.00
Last column: nearest neighbours and their distance in Å.
Element x y z (fractional)
K  0.6145  0.9949  0.2291  3 H 2.77-2.85, 4 O 2.83-2.90
K  0.3855  0.4949  0.7709  3 H 2.77-2.85, 4 O 2.83-2.90
K  0.6145  0.5051  0.2291  3 H 2.77-2.85, 4 O 2.83-2.90
K  0.3855  0.0051  0.7709  3 H 2.77-2.85, 4 O 2.83-2.90
H  0.2301  0.7500  0.4602  6 K 2.77-2.85
H  0.7699  0.2500  0.5398  6 K 2.77-2.85
O  0.9931  0.7500  0.9862  8 K 2.83-2.90
O  0.0069  0.2500  0.0138  8 K 2.83-2.90

[9]
Density functional theory data (PBE) for an optimized crystal structure of Ba2LaGa2S6.

Results
spin magnetization	0.88	μB/f.u.
space-group type	C2/m (12)
formation energy (no corrections)	-1402.6	meV/atom
density of states at the Fermi level	2.111	states/eV per cell

Unit cell a=7.3174 b=6.8990 c=8.1413 alpha=109.95 beta=90.00 gamma=122.03
Last column: nearest neighbours and their distance in Å.
Element x y z (fractional)
Ba  0.7000  0.4001  0.1661  5 S 3.13-3.31
Ba  0.3000  0.5999  0.8339  5 S 3.13-3.31
La  0.5000  0.0000  0.5000  6 S 2.79-2.91
Ga  0.9611  0.9221  0.6622  3 S 2.23-2.27
Ga  0.0389  0.0779  0.3378  3 S 2.23-2.27
S  0.7546  0.5092  0.5750  1 Ga 2.23
S  0.1965  0.8800  0.1943  1 Ga 2.27
S  0.3165  0.1200  0.8057  1 Ga 2.27
S  0.8035  0.1200  0.8057  1 Ga 2.27
S  0.6835  0.8800  0.1943  1 Ga 2.27
S  0.2454  0.4908  0.4250  1 Ga 2.23

[10]
Density functional theory data (PBE) for an optimized crystal structure of TbPrDy2S4.

Results
spin magnetization	0.00	μB/f.u.
space-group type	P2/m (10)
formation energy (no corrections)	-1998.1	meV/atom
density of states at the Fermi level	4.630	states/eV per cell

Unit cell a=3.9156 b=6.9058 c=6.8791 alpha=71.12 beta=90.00 gamma=90.00
Last column: nearest neighbours and their distance in Å.
Element x y z (fractional)
Tb  0.0000  0.5000  0.5000  6 S 2.81
Pr  0.5000  0.5000  0.0000  6 S 2.87
Dy  0.0000  0.0000  0.0000  6 S 2.79-2.80
Dy  0.5000  0.0000  0.5000  6 S 2.73-2.74
S  0.0000  0.7631  0.7385  3 Dy 2.73-2.80, 1 Tb 2.81, 2 Pr 2.87
S  0.0000  0.2369  0.2615  3 Dy 2.73-2.80, 1 Tb 2.81, 2 Pr 2.87
S  0.5000  0.7575  0.2544  3 Dy 2.74-2.79, 2 Tb 2.81, 1 Pr 2.87
S  0.5000  0.2425  0.7456  3 Dy 2.74-2.79, 2 Tb 2.81, 1 Pr 2.87

[11]
Density functional theory data (PBE) for an optimized crystal structure of Ac2CdPt9.

Results
spin magnetization	0.00	μB/f.u.
space-group type	R-3m (166)
calculated formation energy	-0.611	eV per atom
density of states at the Fermi level	8.526	states/eV per cell

Unit cell a=5.5339 b=5.5339 c=9.5508 alpha=73.16 beta=73.16 gamma=60.00
Last column: nearest neighbours and their distance in Å.
Element x y z (fractional)
Ac  0.8644  0.8644  0.4068  9 Pt 3.12-3.30
Ac  0.1356  0.1356  0.5932  9 Pt 3.12-3.30
Cd  0.0000  0.0000  0.0000  18 Pt 3.20-3.55
Pt  0.6678  0.6678  0.9965  6 Pt 2.71-2.77
Pt  0.3322  0.3322  0.0035  6 Pt 2.71-2.77
Pt  0.5000  0.5000  0.5000  6 Pt 2.79
Pt  0.4159  0.4159  0.2474  7 Pt 2.71-2.79
Pt  0.9207  0.4159  0.2474  7 Pt 2.71-2.79
Pt  0.4159  0.9207  0.2474  7 Pt 2.71-2.79
Pt  0.5841  0.5841  0.7526  7 Pt 2.71-2.79
Pt  0.5841  0.0793  0.7526  7 Pt 2.71-2.79
Pt  0.0793  0.5841  0.7526  7 Pt 2.71-2.79

[12]
Density functional theory data (PBE) for an optimized crystal structure of Nb4Cu.

Results
spin magnetization	0.00	μB/f.u.
space-group type	Pm-3m (221)
calculated formation energy	1.142	eV per atom
density of states at the Fermi level	9.588	states/eV per cell

Unit cell a=4.6532 b=4.6532 c=4.6532 alpha=90.00 beta=90.00 gamma=90.00
Last column: nearest neighbours and their distance in Å.
Element x y z (fractional)
Nb  0.0000  0.0000  0.0000  12 Nb 3.29
Nb  0.5000  0.0000  0.5000  2 Cu 2.33
Nb  0.0000  0.5000  0.5000  2 Cu 2.33
Nb  0.5000  0.5000  0.0000  2 Cu 2.33
Cu  0.5000  0.5000  0.5000  6 Nb 2.33

[13]
Density functional theory data (PBE) for an optimized crystal structure of TmHfPa2As4.

Results
spin magnetization	0.00	μB/f.u.
space-group type	P2/m (10)
calculated formation energy	-1.132	eV per atom
density of states at the Fermi level	7.232	states/eV per cell

Unit cell a=4.0322 b=6.9701 c=6.9117 alpha=109.71 beta=90.00 gamma=90.00
Last column: nearest neighbours and their distance in Å.
Element x y z (fractional)
Tm  0.5000  0.5000  0.0000  6 As 2.82
Hf  0.0000  0.0000  0.0000  6 As 2.77
Pa  0.5000  0.0000  0.5000  6 As 2.86
Pa  0.0000  0.5000  0.5000  6 As 2.90-2.91
As  0.5000  0.2402  0.2364  2 Hf 2.77, 1 Tm 2.82, 3 Pa 2.86-2.90
As  0.5000  0.7598  0.7636  2 Hf 2.77, 1 Tm 2.82, 3 Pa 2.86-2.90
As  0.0000  0.2476  0.7598  1 Hf 2.77, 2 Tm 2.82, 3 Pa 2.86-2.91
As  0.0000  0.7524  0.2402  1 Hf 2.77, 2 Tm 2.82, 3 Pa 2.86-2.91

[14]
Density functional theory data (PBE) for an optimized crystal structure of ThTlP2.

Results
spin magnetization	0.00	μB/f.u.
space-group type	R-3m (166)
calculated formation energy	-0.541	eV per atom
density of states at the Fermi level	2.767	states/eV per cell

Unit cell a=4.2625 b=4.2625 c=7.2477 alpha=72.90 beta=72.90 gamma=60.00
Last column: nearest neighbours and their distance in Å.
Element x y z (fractional)
P  0.2599  0.2599  0.2202  3 Th 2.88, 3 Tl 3.11
P  0.7401  0.7401  0.7798  3 Th 2.88, 3 Tl 3.11
Tl  0.5000  0.5000  0.5000  6 P 3.11
Th  0.0000  0.0000  0.0000  6 P 2.88

[15]
Density functional theory data (PBE) for an optimized crystal structure of Rb3I2F.

Results
energy above the lowest structure with this stoichiometry	0.063	eV/atom
spin magnetization	0.00	μB/f.u.
space-group type	Immm (71)
formation energy (no corrections)	-1795.6	meV/atom
density of states at the Fermi level	0.000	states/eV per cell

Unit cell a=4.6588 b=7.1985 c=8.6637 alpha=114.55 beta=105.60 gamma=90.00
Last column: nearest neighbours and their distance in Å.
Element x y z (fractional)
Rb  0.3723  0.3723  0.7445  2 F 3.02
Rb  0.0000  0.0000  0.0000  4 I 3.54, 2 F 3.60
Rb  0.6277  0.6277  0.2555  2 F 3.02
I  0.6771  0.1771  0.3543  6 Rb 3.54-3.75
I  0.3229  0.8229  0.6457  6 Rb 3.54-3.75
F  0.0000  0.5000  0.0000  4 Rb 3.02

[16]
Density functional theory data (PBE) for an optimized crystal structure of Hf2VFeCu.

Results
spin magnetization	1.23	μB/f.u.
space-group type	P4/mmm (123)
calculated formation energy	0.507	eV per atom
density of states at the Fermi level	5.821	states/eV per cell

Unit cell a=4.8178 b=4.1439 c=4.8178 alpha=90.00 beta=90.00 gamma=90.00
Last column: nearest neighbours and their distance in Å.
Element x y z (fractional)
Hf  0.0000  0.0000  0.5000  2 Fe 2.41
Hf  0.5000  0.0000  0.0000  2 Fe 2.41
Fe  0.0000  0.0000  0.0000  2 V 2.07
Cu  0.5000  0.5000  0.5000  8 Hf 3.18, 4 V 3.41
V  0.0000  0.5000  0.0000  2 Fe 2.07

[17]
Density functional theory data (PBE) for an optimized crystal structure of Na3Hf3ScTe8.

Results
spin magnetization	0.00	μB/f.u.
space-group type	R-3m (166)
formation energy (no corrections)	-926.9	meV/atom
density of states at the Fermi level	5.314	states/eV per cell

Unit cell a=8.1646 b=8.1635 c=9.1202 alpha=116.58 beta=90.00 gamma=120.00
Last column: nearest neighbours and their distance in Å.
Element x y z (fractional)
Na  0.0000  0.0000  0.0000  6 Te 3.20-3.22
Na  0.0000  0.5000  0.0000  6 Te 3.21-3.22
Na  0.5000  0.5000  0.0000  6 Te 3.21-3.22
Hf  0.5000  0.0000  0.5000  6 Te 2.91-2.93
Hf  0.5000  0.5000  0.5000  6 Te 2.91-2.92
Hf  0.0000  0.5000  0.5000  6 Te 2.91-2.92
Sc  0.0000  0.0000  0.5000  6 Te 2.95
Te  0.2593  0.5186  0.2784  3 Hf 2.92-2.93, 3 Na 3.20-3.21
Te  0.7407  0.4814  0.7216  3 Hf 2.92-2.93, 3 Na 3.20-3.21
Te  0.7570  0.5141  0.2789  2 Hf 2.91, 1 Sc 2.95, 2 Na 3.22
Te  0.2430  0.4859  0.7211  2 Hf 2.91, 1 Sc 2.95, 2 Na 3.22
Te  0.7572  0.0212  0.2788  2 Hf 2.91, 1 Sc 2.95, 2 Na 3.22
Te  0.2428  0.9788  0.7212  2 Hf 2.91, 1 Sc 2.95, 2 Na 3.22
Te  0.2641  0.0212  0.2788  2 Hf 2.91, 1 Sc 2.95, 2 Na 3.22
Te  0.7359  0.9788  0.7212  2 Hf 2.91, 1 Sc 2.95, 2 Na 3.22

[18]
Density functional theory data (PBE) for an optimized crystal structure of NbIrS2N.

Results
energy above the lowest structure with this stoichiometry	0.284	eV/atom
spin magnetization	0.00	μB/f.u.
space-group type	P4/mmm (123)
formation energy (no corrections)	801.5	meV/atom
density of states at the Fermi level	4.592	states/eV per cell

Unit cell a=4.8895 b=4.8895 c=3.7715 alpha=90.00 beta=90.00 gamma=90.00
Last column: nearest neighbours and their distance in Å.
Element x y z (fractional)
Nb  0.0000  0.0000  0.0000  2 N 1.89
Ir  0.5000  0.5000  0.5000  8 S 3.09, 4 N 3.46
S  0.0000  0.5000  0.0000  2 Nb 2.44
S  0.5000  0.0000  0.0000  2 Nb 2.44
N  0.0000  0.0000  0.5000  2 Nb 1.89